Record 1
# SCAN RuPt3, PBEsol geometry
data_RuPt3
_cell_length_a 4.5523
_cell_length_b 5.4402
_cell_length_c 4.7182
_cell_angle_alpha 90.00
_cell_angle_beta 90.00
_cell_angle_gamma 90.00
_space_group_name_H-M_alt 'P 1'
_space_group_IT_number 1
loop_
_space_group_symop_operation_xyz
'x,y,z'
loop_
_atom_site_label
_atom_site_type_symbol
_atom_site_fract_x
_atom_site_fract_y
_atom_site_fract_z
Ru1 Ru 0.2500 0.2500 0.1667
Ru2 Ru 0.7500 0.7500 0.8333
Pt1 Pt 0.2500 0.0009 0.6678
Pt2 Pt 0.2500 0.4991 0.6678
Pt3 Pt 0.2500 0.7500 0.1609
Pt4 Pt 0.7500 0.2500 0.8391
Pt5 Pt 0.7500 0.5009 0.3322
Pt6 Pt 0.7500 0.9991 0.3322
# - Symmetry: No. 59
# - Calculated formation energy: 0.106 eV/atom

Record 2
# SCAN RuPt3, PBEsol geometry
data_RuPt3
_cell_length_a 2.7380
_cell_length_b 3.8723
_cell_length_c 5.4805
_cell_angle_alpha 90.00
_cell_angle_beta 90.00
_cell_angle_gamma 90.00
_space_group_name_H-M_alt 'P 1'
_space_group_IT_number 1
loop_
_space_group_symop_operation_xyz
'x,y,z'
loop_
_atom_site_label
_atom_site_type_symbol
_atom_site_fract_x
_atom_site_fract_y
_atom_site_fract_z
Ru1 Ru 0.0000 0.0000 0.0000
Pt1 Pt 0.0000 0.0000 0.5000
Pt2 Pt 0.5000 0.5000 0.2419
Pt3 Pt 0.5000 0.5000 0.7581
# - Symmetry: No. 47
# - Calculated formation energy: 0.015 eV/atom

Record 3
# SCAN Ru2Pt, PBEsol geometry
data_Ru2Pt
_cell_length_a 5.3866
_cell_length_b 3.7941
_cell_length_c 8.1218
_cell_angle_alpha 90.00
_cell_angle_beta 90.00
_cell_angle_gamma 90.00
_space_group_name_H-M_alt 'P 1'
_space_group_IT_number 1
loop_
_space_group_symop_operation_xyz
'x,y,z'
loop_
_atom_site_label
_atom_site_type_symbol
_atom_site_fract_x
_atom_site_fract_y
_atom_site_fract_z
Ru1 Ru 0.1175 0.2500 0.0808
Ru2 Ru 0.1236 0.2500 0.7587
Ru3 Ru 0.3764 0.7500 0.2587
Ru4 Ru 0.3825 0.7500 0.5808
Ru5 Ru 0.6175 0.2500 0.4192
Ru6 Ru 0.6236 0.2500 0.7413
Ru7 Ru 0.8764 0.7500 0.2413
Ru8 Ru 0.8825 0.7500 0.9192
Pt1 Pt 0.1248 0.2500 0.4117
Pt2 Pt 0.3752 0.7500 0.9117
Pt3 Pt 0.6248 0.2500 0.0883
Pt4 Pt 0.8752 0.7500 0.5883
# - Symmetry: No. 62
# - Calculated formation energy: -0.016 eV/atom

Record 4
# SCAN RuPt3, PBEsol geometry
data_RuPt3
_cell_length_a 9.1007
_cell_length_b 9.1007
_cell_length_c 9.1007
_cell_angle_alpha 17.31
_cell_angle_beta 17.31
_cell_angle_gamma 17.31
_space_group_name_H-M_alt 'P 1'
_space_group_IT_number 1
loop_
_space_group_symop_operation_xyz
'x,y,z'
loop_
_atom_site_label
_atom_site_type_symbol
_atom_site_fract_x
_atom_site_fract_y
_atom_site_fract_z
Ru1 Ru 0.0000 0.0000 0.0000
Pt1 Pt 0.2530 0.2530 0.2530
Pt2 Pt 0.5000 0.5000 0.5000
Pt3 Pt 0.7470 0.7470 0.7470
# - Symmetry: No. 166
# - Calculated formation energy: 0.021 eV/atom

Record 5
# SCAN Ru2Pt, PBEsol geometry
data_Ru2Pt
_cell_length_a 5.1369
_cell_length_b 5.1369
_cell_length_c 6.3915
_cell_angle_alpha 103.78
_cell_angle_beta 103.78
_cell_angle_gamma 30.56
_space_group_name_H-M_alt 'P 1'
_space_group_IT_number 1
loop_
_space_group_symop_operation_xyz
'x,y,z'
loop_
_atom_site_label
_atom_site_type_symbol
_atom_site_fract_x
_atom_site_fract_y
_atom_site_fract_z
Ru1 Ru 0.1465 0.1465 0.0320
Ru2 Ru 0.2014 0.2014 0.6432
Ru3 Ru 0.7986 0.7986 0.3568
Ru4 Ru 0.8535 0.8535 0.9680
Pt1 Pt 0.4747 0.4747 0.6987
Pt2 Pt 0.5253 0.5253 0.3013
# - Symmetry: No. 12
# - Calculated formation energy: 0.001 eV/atom

Record 6
# SCAN RuPt3, PBEsol geometry
data_RuPt3
_cell_length_a 4.7492
_cell_length_b 8.9314
_cell_length_c 5.4970
_cell_angle_alpha 90.00
_cell_angle_beta 90.00
_cell_angle_gamma 90.00
_space_group_name_H-M_alt 'P 1'
_space_group_IT_number 1
loop_
_space_group_symop_operation_xyz
'x,y,z'
loop_
_atom_site_label
_atom_site_type_symbol
_atom_site_fract_x
_atom_site_fract_y
_atom_site_fract_z
Ru1 Ru 0.0778 0.2500 0.1333
Ru2 Ru 0.4222 0.7500 0.6333
Ru3 Ru 0.5778 0.2500 0.3667
Ru4 Ru 0.9222 0.7500 0.8667
Pt1 Pt 0.0825 0.2500 0.6227
Pt2 Pt 0.2448 0.5019 0.8758
Pt3 Pt 0.2448 0.9981 0.8758
Pt4 Pt 0.2552 0.0019 0.3758
Pt5 Pt 0.2552 0.4981 0.3758
Pt6 Pt 0.4175 0.7500 0.1227
Pt7 Pt 0.5825 0.2500 0.8773
Pt8 Pt 0.7448 0.5019 0.6242
Pt9 Pt 0.7448 0.9981 0.6242
Pt10 Pt 0.7552 0.0019 0.1242
Pt11 Pt 0.7552 0.4981 0.1242
Pt12 Pt 0.9175 0.7500 0.3773
# - Symmetry: No. 62
# - Calculated formation energy: 0.072 eV/atom

Record 7
# SCAN Ru3Pt, PBEsol geometry
data_Ru3Pt
_cell_length_a 4.2963
_cell_length_b 5.4132
_cell_length_c 4.7037
_cell_angle_alpha 90.00
_cell_angle_beta 90.00
_cell_angle_gamma 90.00
_space_group_name_H-M_alt 'P 1'
_space_group_IT_number 1
loop_
_space_group_symop_operation_xyz
'x,y,z'
loop_
_atom_site_label
_atom_site_type_symbol
_atom_site_fract_x
_atom_site_fract_y
_atom_site_fract_z
Ru1 Ru 0.2500 0.0024 0.1639
Ru2 Ru 0.2500 0.2500 0.6702
Ru3 Ru 0.2500 0.4976 0.1639
Ru4 Ru 0.7500 0.5024 0.8361
Ru5 Ru 0.7500 0.7500 0.3298
Ru6 Ru 0.7500 0.9976 0.8361
Pt1 Pt 0.2500 0.7500 0.6618
Pt2 Pt 0.7500 0.2500 0.3382
# - Symmetry: No. 59
# - Calculated formation energy: 0.001 eV/atom

Record 8
# SCAN RuPt5, PBEsol geometry
data_RuPt5
_cell_length_a 4.5837
_cell_length_b 7.2296
_cell_length_c 7.2296
_cell_angle_alpha 21.71
_cell_angle_beta 90.00
_cell_angle_gamma 90.00
_space_group_name_H-M_alt 'P 1'
_space_group_IT_number 1
loop_
_space_group_symop_operation_xyz
'x,y,z'
loop_
_atom_site_label
_atom_site_type_symbol
_atom_site_fract_x
_atom_site_fract_y
_atom_site_fract_z
Ru1 Ru 0.0000 0.0000 0.0000
Pt1 Pt 0.0000 0.3380 0.3380
Pt2 Pt 0.0000 0.6640 0.6640
Pt3 Pt 0.5000 0.1091 0.1091
Pt4 Pt 0.5000 0.4450 0.4450
Pt5 Pt 0.5000 0.7762 0.7762
# - Symmetry: No. 38
# - Calculated formation energy: 0.111 eV/atom

Record 9
# SCAN Ru2Pt, PBEsol geometry
data_Ru2Pt
_cell_length_a 11.7366
_cell_length_b 11.7366
_cell_length_c 11.7366
_cell_angle_alpha 161.32
_cell_angle_beta 161.32
_cell_angle_gamma 26.53
_space_group_name_H-M_alt 'P 1'
_space_group_IT_number 1
loop_
_space_group_symop_operation_xyz
'x,y,z'
loop_
_atom_site_label
_atom_site_type_symbol
_atom_site_fract_x
_atom_site_fract_y
_atom_site_fract_z
Ru1 Ru 0.1239 0.3739 0.7500
Ru2 Ru 0.2927 0.5427 0.7500
Ru3 Ru 0.3739 0.1239 0.2500
Ru4 Ru 0.4573 0.7073 0.7500
Ru5 Ru 0.5427 0.2927 0.2500
Ru6 Ru 0.6261 0.8761 0.7500
Ru7 Ru 0.7073 0.4573 0.2500
Ru8 Ru 0.8761 0.6261 0.2500
Pt1 Pt 0.0440 0.7940 0.2500
Pt2 Pt 0.2060 0.9560 0.2500
Pt3 Pt 0.7940 0.0440 0.7500
Pt4 Pt 0.9560 0.2060 0.7500
# - Symmetry: No. 141
# - Calculated formation energy: 0.001 eV/atom

Record 10
# SCAN Ru2Pt, PBEsol geometry
data_Ru2Pt
_cell_length_a 6.0522
_cell_length_b 6.0522
_cell_length_c 6.0522
_cell_angle_alpha 154.32
_cell_angle_beta 154.32
_cell_angle_gamma 36.63
_space_group_name_H-M_alt 'P 1'
_space_group_IT_number 1
loop_
_space_group_symop_operation_xyz
'x,y,z'
loop_
_atom_site_label
_atom_site_type_symbol
_atom_site_fract_x
_atom_site_fract_y
_atom_site_fract_z
Ru1 Ru 0.1746 0.1746 0.0000
Ru2 Ru 0.8254 0.8254 0.0000
Pt1 Pt 0.5000 0.5000 0.0000
# - Symmetry: No. 139
# - Calculated formation energy: -0.035 eV/atom

Record 11
# SCAN Ru5Pt4, PBEsol geometry
data_Ru5Pt4
_cell_length_a 6.0586
_cell_length_b 6.0586
_cell_length_c 6.0586
_cell_angle_alpha 95.67
_cell_angle_beta 95.67
_cell_angle_gamma 143.35
_space_group_name_H-M_alt 'P 1'
_space_group_IT_number 1
loop_
_space_group_symop_operation_xyz
'x,y,z'
loop_
_atom_site_label
_atom_site_type_symbol
_atom_site_fract_x
_atom_site_fract_y
_atom_site_fract_z
Ru1 Ru 0.0000 0.0000 0.0000
Ru2 Ru 0.3386 0.3386 0.6772
Ru3 Ru 0.3386 0.6614 0.0000
Ru4 Ru 0.6614 0.3386 0.0000
Ru5 Ru 0.6614 0.6614 0.3228
Pt1 Pt 0.0000 0.3250 0.3250
Pt2 Pt 0.0000 0.6750 0.6750
Pt3 Pt 0.3250 0.0000 0.3250
Pt4 Pt 0.6750 0.0000 0.6750
# - Symmetry: No. 139
# - Calculated formation energy: -0.051 eV/atom

Record 12
# SCAN Ru2Pt, PBEsol geometry
data_Ru2Pt
_cell_length_a 5.1259
_cell_length_b 5.1259
_cell_length_c 6.3937
_cell_angle_alpha 103.73
_cell_angle_beta 103.73
_cell_angle_gamma 30.68
_space_group_name_H-M_alt 'P 1'
_space_group_IT_number 1
loop_
_space_group_symop_operation_xyz
'x,y,z'
loop_
_atom_site_label
_atom_site_type_symbol
_atom_site_fract_x
_atom_site_fract_y
_atom_site_fract_z
Ru1 Ru 0.0000 0.0000 0.0000
Ru2 Ru 0.0548 0.0548 0.6144
Ru3 Ru 0.3918 0.3918 0.2709
Ru4 Ru 0.7195 0.7195 0.9476
Pt1 Pt 0.3361 0.3361 0.6727
Pt2 Pt 0.6644 0.6644 0.3295
# - Symmetry: No. 8
# - Calculated formation energy: 0.048 eV/atom

Record 13
# SCAN Ru3Pt, PBEsol geometry
data_Ru3Pt
_cell_length_a 2.7119
_cell_length_b 4.2991
_cell_length_c 4.6886
_cell_angle_alpha 90.00
_cell_angle_beta 90.00
_cell_angle_gamma 90.00
_space_group_name_H-M_alt 'P 1'
_space_group_IT_number 1
loop_
_space_group_symop_operation_xyz
'x,y,z'
loop_
_atom_site_label
_atom_site_type_symbol
_atom_site_fract_x
_atom_site_fract_y
_atom_site_fract_z
Ru1 Ru 0.0000 0.0000 0.0000
Ru2 Ru 0.0000 0.5000 0.3265
Ru3 Ru 0.5000 0.5000 0.8360
Pt1 Pt 0.5000 0.0000 0.5021
# - Symmetry: No. 25
# - Calculated formation energy: 0.033 eV/atom

Record 14
# SCAN Ru3Pt, PBEsol geometry
data_Ru3Pt
_cell_length_a 8.9549
_cell_length_b 8.9549
_cell_length_c 8.9549
_cell_angle_alpha 17.22
_cell_angle_beta 17.22
_cell_angle_gamma 17.22
_space_group_name_H-M_alt 'P 1'
_space_group_IT_number 1
loop_
_space_group_symop_operation_xyz
'x,y,z'
loop_
_atom_site_label
_atom_site_type_symbol
_atom_site_fract_x
_atom_site_fract_y
_atom_site_fract_z
Ru1 Ru 0.0000 0.0000 0.0000
Ru2 Ru 0.2530 0.2530 0.2530
Ru3 Ru 0.7470 0.7470 0.7470
Pt1 Pt 0.5000 0.5000 0.5000
# - Symmetry: No. 166
# - Calculated formation energy: 0.064 eV/atom

Record 15
# SCAN Ru3Pt, PBEsol geometry
data_Ru3Pt
_cell_length_a 5.0932
_cell_length_b 5.0932
_cell_length_c 5.0932
_cell_angle_alpha 149.19
_cell_angle_beta 64.24
_cell_angle_gamma 125.15
_space_group_name_H-M_alt 'P 1'
_space_group_IT_number 1
loop_
_space_group_symop_operation_xyz
'x,y,z'
loop_
_atom_site_label
_atom_site_type_symbol
_atom_site_fract_x
_atom_site_fract_y
_atom_site_fract_z
Ru1 Ru 0.0000 0.0000 0.0000
Ru2 Ru 0.0813 0.3347 0.7465
Ru3 Ru 0.5882 0.3347 0.2535
Pt1 Pt 0.4977 0.9977 0.5000
# - Symmetry: No. 44
# - Calculated formation energy: 0.041 eV/atom

Record 16
# SCAN Ru2Pt, PBEsol geometry
data_Ru2Pt
_cell_length_a 4.6913
_cell_length_b 4.6913
_cell_length_c 4.6913
_cell_angle_alpha 146.64
_cell_angle_beta 132.46
_cell_angle_gamma 59.32
_space_group_name_H-M_alt 'P 1'
_space_group_IT_number 1
loop_
_space_group_symop_operation_xyz
'x,y,z'
loop_
_atom_site_label
_atom_site_type_symbol
_atom_site_fract_x
_atom_site_fract_y
_atom_site_fract_z
Ru1 Ru 0.1747 0.1747 0.0000
Ru2 Ru 0.8253 0.8253 0.0000
Pt1 Pt 0.5000 0.5000 0.0000
# - Symmetry: No. 71
# - Calculated formation energy: -0.019 eV/atom

Record 17
# SCAN RuPt5, PBEsol geometry
data_RuPt5
_cell_length_a 4.7196
_cell_length_b 4.7196
_cell_length_c 4.5904
_cell_angle_alpha 90.00
_cell_angle_beta 90.00
_cell_angle_gamma 120.00
_space_group_name_H-M_alt 'P 1'
_space_group_IT_number 1
loop_
_space_group_symop_operation_xyz
'x,y,z'
loop_
_atom_site_label
_atom_site_type_symbol
_atom_site_fract_x
_atom_site_fract_y
_atom_site_fract_z
Ru1 Ru 0.0000 0.0000 0.0000
Pt1 Pt 0.0000 0.6724 0.5000
Pt2 Pt 0.3276 0.3276 0.5000
Pt3 Pt 0.3333 0.6667 0.0000
Pt4 Pt 0.6667 0.3333 0.0000
Pt5 Pt 0.6724 0.0000 0.5000
# - Symmetry: No. 189
# - Calculated formation energy: 0.114 eV/atom

Record 18
# SCAN Ru3Pt, PBEsol geometry
data_Ru3Pt
_cell_length_a 4.6612
_cell_length_b 4.6612
_cell_length_c 4.6584
_cell_angle_alpha 99.42
_cell_angle_beta 99.42
_cell_angle_gamma 33.35
_space_group_name_H-M_alt 'P 1'
_space_group_IT_number 1
loop_
_space_group_symop_operation_xyz
'x,y,z'
loop_
_atom_site_label
_atom_site_type_symbol
_atom_site_fract_x
_atom_site_fract_y
_atom_site_fract_z
Ru1 Ru 0.0000 0.0000 0.0000
Ru2 Ru 0.2537 0.2537 0.7613
Ru3 Ru 0.7463 0.7463 0.2387
Pt1 Pt 0.5000 0.5000 0.5000
# - Symmetry: No. 12
# - Calculated formation energy: 0.048 eV/atom

Record 19
# SCAN RuPt3, PBEsol geometry
data_RuPt3
_cell_length_a 4.7573
_cell_length_b 4.7573
_cell_length_c 2.7310
_cell_angle_alpha 90.00
_cell_angle_beta 90.00
_cell_angle_gamma 109.74
_space_group_name_H-M_alt 'P 1'
_space_group_IT_number 1
loop_
_space_group_symop_operation_xyz
'x,y,z'
loop_
_atom_site_label
_atom_site_type_symbol
_atom_site_fract_x
_atom_site_fract_y
_atom_site_fract_z
Ru1 Ru 0.0000 0.0000 0.0000
Pt1 Pt 0.0000 0.5000 0.5000
Pt2 Pt 0.5000 0.0000 0.5000
Pt3 Pt 0.5000 0.5000 0.0000
# - Symmetry: No. 65
# - Calculated formation energy: 0.074 eV/atom

Record 20
# SCAN Ru2Pt, PBEsol geometry
data_Ru2Pt
_cell_length_a 4.4270
_cell_length_b 4.4270
_cell_length_c 2.6255
_cell_angle_alpha 90.00
_cell_angle_beta 90.00
_cell_angle_gamma 90.00
_space_group_name_H-M_alt 'P 1'
_space_group_IT_number 1
loop_
_space_group_symop_operation_xyz
'x,y,z'
loop_
_atom_site_label
_atom_site_type_symbol
_atom_site_fract_x
_atom_site_fract_y
_atom_site_fract_z
Ru1 Ru 0.0000 0.5000 0.0000
Ru2 Ru 0.5000 0.0000 0.0000
Pt1 Pt 0.0000 0.0000 0.5000
# - Symmetry: No. 123
# - Calculated formation energy: 1.019 eV/atom